A plane-wave DFT calculation with PBE-GGA was carried out for crystalline ErNbZn at its relaxed geometry.

As for the total magnetization: 0.4 μB/f.u. The value obtained for the energy relative to the lowest polymorph listed for this composition is 0 meV/atom. For the total energy, the calculation gives -4.85 eV/atom. Its formation energy is 0.4592 eV per atom.

Lattice parameters (Å, degrees): 4.5738 4.5738 4.5738 60.00 60.00 60.00
Each line ends with the local moment (μB).
Fractional positions:
Er: 0.2500 0.2500 0.2500  0.07
Nb: 0.7500 0.7500 0.7500  0.25
Zn: 0.0000 0.0000 0.0000  0.00